Here is a relaxed structure of BaTaTe2 from the Alexandria database. Energies are from GGA-PBEsol.

Output
- symmetry = P4/mmm (123)
- formation energy without anion corrections (eV per atom) = -0.45

abc: 3.551 3.551 8.116
angles: 90.00 90.00 90.00
Fractional positions:
Ba1 0.500 0.500 0.000
Te1 0.000 0.000 0.698
Te2 0.000 0.000 0.302
Ta1 0.500 0.500 0.500